A plane-wave DFT calculation with GGA-PBEsol was carried out for crystalline Li2VFeO4 at its relaxed geometry.

Cell lengths 3.9309, 3.9309, 5.1054 Å; angles 112.64, 112.64, 90.00 degrees
Fractional positions:
V: 0.0000 0.0000 0.0000
Fe: 0.2500 0.7500 0.5000
O: 0.7644 0.7644 0.5288
Li: 0.7500 0.2500 0.5000
O: 0.4999 0.9999 0.9997
O: 0.0001 0.5001 0.0003
O: 0.2356 0.2356 0.4712
Li: 0.5000 0.5000 0.0000

## Properties
Polymorph energy (0 for the lowest one)   3.6 kJ/mol of atoms
Final energy   -58.91 eV/cell
N(E_F)   0.5124 states/eV per atom
E_form (uncorrected)   -1923 meV/atom